# 1
# K4Tb3CeS8 (PBE-GGA, optimized geometry)
data_K4Tb3CeS8
_chemical_formula_sum 'K4 Tb3 Ce1 S8'
_symmetry_space_group_name_H-M 'P 1'
_symmetry_Int_Tables_number 1
_cell_length_a 8.766
_cell_length_b 8.766
_cell_length_c 8.766
_cell_angle_alpha 55.94
_cell_angle_beta 55.94
_cell_angle_gamma 55.94
loop_
_symmetry_equiv_pos_as_xyz
'x,y,z'
loop_
_atom_site_label
_atom_site_type_symbol
_atom_site_fract_x
_atom_site_fract_y
_atom_site_fract_z
K1 K 0.000 0.000 0.000
K2 K 0.000 0.500 0.500
K3 K 0.500 0.000 0.500
K4 K 0.500 0.500 0.000
Tb1 Tb 0.000 0.000 0.500
Tb2 Tb 0.000 0.500 0.000
Tb3 Tb 0.500 0.000 0.000
Ce1 Ce 0.500 0.500 0.500
S1 S 0.228 0.738 0.738
S2 S 0.234 0.234 0.234
S3 S 0.262 0.262 0.772
S4 S 0.262 0.772 0.262
S5 S 0.738 0.228 0.738
S6 S 0.738 0.738 0.228
S7 S 0.766 0.766 0.766
S8 S 0.772 0.262 0.262
# Electronic total energy   -86.98 eV per formula unit
# DOS(E_F)   4.802 states/eV per cell
# Total magnetization   1.00 μB per formula unit
# ΔE_f (raw)   -1.859 eV/atom

# 2
# K4U3MnS12 (PBE-GGA, optimized geometry)
data_K4U3MnS12
_chemical_formula_sum 'K4 U3 Mn1 S12'
_symmetry_space_group_name_H-M 'P 1'
_symmetry_Int_Tables_number 1
_cell_length_a 8.833
_cell_length_b 8.833
_cell_length_c 8.833
_cell_angle_alpha 109.47
_cell_angle_beta 109.47
_cell_angle_gamma 109.47
loop_
_symmetry_equiv_pos_as_xyz
'x,y,z'
loop_
_atom_site_label
_atom_site_type_symbol
_atom_site_fract_x
_atom_site_fract_y
_atom_site_fract_z
K1 K 0.000 0.000 0.500
K2 K 0.000 0.500 0.000
K3 K 0.500 0.000 0.000
K4 K 0.500 0.500 0.500
U1 U 0.000 0.500 0.500
U2 U 0.500 0.000 0.500
U3 U 0.500 0.500 0.000
Mn1 Mn 0.000 0.000 0.000
S1 S 0.000 0.255 0.255
S2 S 0.000 0.745 0.745
S3 S 0.250 0.500 0.750
S4 S 0.250 0.750 0.500
S5 S 0.255 0.000 0.255
S6 S 0.255 0.255 0.000
S7 S 0.500 0.250 0.750
S8 S 0.500 0.750 0.250
S9 S 0.745 0.000 0.745
S10 S 0.745 0.745 0.000
S11 S 0.750 0.250 0.500
S12 S 0.750 0.500 0.250
# Electronic total energy   -120.24 eV per formula unit
# Total magnetization   5.21 μB per formula unit
# ΔE_f (raw)   -1.164 eV/atom

# 3
# KMg2Te (PBE-GGA, optimized geometry)
data_KMg2Te
_chemical_formula_sum 'K1 Mg2 Te1'
_symmetry_space_group_name_H-M 'P 1'
_symmetry_Int_Tables_number 1
_cell_length_a 4.629
_cell_length_b 4.811
_cell_length_c 5.372
_cell_angle_alpha 90.00
_cell_angle_beta 90.00
_cell_angle_gamma 90.00
loop_
_symmetry_equiv_pos_as_xyz
'x,y,z'
loop_
_atom_site_label
_atom_site_type_symbol
_atom_site_fract_x
_atom_site_fract_y
_atom_site_fract_z
K1 K 0.000 0.000 0.000
Mg1 Mg 0.000 0.500 0.500
Mg2 Mg 0.500 0.000 0.500
Te1 Te 0.500 0.500 0.000
# Electronic total energy   -8.34 eV per formula unit
# DOS(E_F)   1.599 states/eV per cell
# Total magnetization   0.00 μB per formula unit
# ΔE_f (raw)   -0.227 eV/atom

# 4
# TmTi2Rh3 (PBE-GGA, optimized geometry)
data_TmTi2Rh3
_chemical_formula_sum 'Tm1 Ti2 Rh3'
_symmetry_space_group_name_H-M 'P 1'
_symmetry_Int_Tables_number 1
_cell_length_a 3.108
_cell_length_b 3.108
_cell_length_c 10.207
_cell_angle_alpha 90.00
_cell_angle_beta 90.00
_cell_angle_gamma 90.00
loop_
_symmetry_equiv_pos_as_xyz
'x,y,z'
loop_
_atom_site_label
_atom_site_type_symbol
_atom_site_fract_x
_atom_site_fract_y
_atom_site_fract_z
Tm1 Tm 0.000 0.000 0.000
Ti1 Ti 0.000 0.000 0.344
Ti2 Ti 0.000 0.000 0.656
Rh1 Rh 0.500 0.500 0.201
Rh2 Rh 0.500 0.500 0.500
Rh3 Rh 0.500 0.500 0.799
# Formation energy   -800 meV/atom
# Electronic total energy   -47.12 eV per formula unit
# DOS(E_F)   6.133 states/eV per cell
# Total magnetization   0.00 μB per formula unit

# 5
# CoSiTc2 (PBE-GGA, optimized geometry)
data_CoSiTc2
_chemical_formula_sum 'Co1 Si1 Tc2'
_symmetry_space_group_name_H-M 'P 1'
_symmetry_Int_Tables_number 1
_cell_length_a 3.712
_cell_length_b 3.712
_cell_length_c 3.772
_cell_angle_alpha 90.00
_cell_angle_beta 90.00
_cell_angle_gamma 90.00
loop_
_symmetry_equiv_pos_as_xyz
'x,y,z'
loop_
_atom_site_label
_atom_site_type_symbol
_atom_site_fract_x
_atom_site_fract_y
_atom_site_fract_z
Co1 Co 0.000 0.000 0.000
Si1 Si 0.500 0.500 0.000
Tc1 Tc 0.000 0.500 0.500
Tc2 Tc 0.500 0.000 0.500
# Electronic total energy   -33.34 eV per formula unit
# DOS(E_F)   5.991 states/eV per cell
# Total magnetization   0.03 μB per formula unit
# ΔE_f (raw)   -0.019 eV/atom

# 6
# BaTmZnHg (PBE-GGA, optimized geometry)
data_BaTmZnHg
_chemical_formula_sum 'Ba4 Tm4 Zn4 Hg4'
_symmetry_space_group_name_H-M 'P 1'
_symmetry_Int_Tables_number 1
_cell_length_a 7.755
_cell_length_b 7.755
_cell_length_c 7.755
_cell_angle_alpha 90.00
_cell_angle_beta 90.00
_cell_angle_gamma 90.00
loop_
_symmetry_equiv_pos_as_xyz
'x,y,z'
loop_
_atom_site_label
_atom_site_type_symbol
_atom_site_fract_x
_atom_site_fract_y
_atom_site_fract_z
Ba1 Ba 0.000 0.000 0.000
Ba2 Ba 0.000 0.500 0.500
Ba3 Ba 0.500 0.000 0.500
Ba4 Ba 0.500 0.500 0.000
Tm1 Tm 0.000 0.000 0.500
Tm2 Tm 0.000 0.500 0.000
Tm3 Tm 0.500 0.000 0.000
Tm4 Tm 0.500 0.500 0.500
Zn1 Zn 0.250 0.250 0.750
Zn2 Zn 0.250 0.750 0.250
Zn3 Zn 0.750 0.250 0.250
Zn4 Zn 0.750 0.750 0.750
Hg1 Hg 0.250 0.250 0.250
Hg2 Hg 0.250 0.750 0.750
Hg3 Hg 0.750 0.250 0.750
Hg4 Hg 0.750 0.750 0.250
# Formation energy   -197 meV/atom
# Electronic total energy   -8.76 eV per formula unit
# DOS(E_F)   9.956 states/eV per cell
# Total magnetization   0.00 μB per formula unit

# 7
# LiPm2Eu (PBE-GGA, optimized geometry)
data_LiPm2Eu
_chemical_formula_sum 'Li1 Pm2 Eu1'
_symmetry_space_group_name_H-M 'P 1'
_symmetry_Int_Tables_number 1
_cell_length_a 5.704
_cell_length_b 5.704
_cell_length_c 3.972
_cell_angle_alpha 90.00
_cell_angle_beta 90.00
_cell_angle_gamma 90.00
loop_
_symmetry_equiv_pos_as_xyz
'x,y,z'
loop_
_atom_site_label
_atom_site_type_symbol
_atom_site_fract_x
_atom_site_fract_y
_atom_site_fract_z
Li1 Li 0.000 0.000 0.000
Pm1 Pm 0.000 0.500 0.500
Pm2 Pm 0.500 0.000 0.500
Eu1 Eu 0.500 0.500 0.000
# Formation energy   180 meV/atom
# Electronic total energy   -20.97 eV per formula unit
# DOS(E_F)   4.695 states/eV per cell
# Total magnetization   7.36 μB per formula unit
# Energy above the most stable polymorph in this dataset   0.062 eV/atom

# 8
# In5H2I4 (PBE-GGA, optimized geometry)
data_In5H2I4
_chemical_formula_sum 'In5 H2 I4'
_symmetry_space_group_name_H-M 'P 1'
_symmetry_Int_Tables_number 1
_cell_length_a 4.064
_cell_length_b 6.815
_cell_length_c 13.329
_cell_angle_alpha 80.13
_cell_angle_beta 81.42
_cell_angle_gamma 72.67
loop_
_symmetry_equiv_pos_as_xyz
'x,y,z'
loop_
_atom_site_label
_atom_site_type_symbol
_atom_site_fract_x
_atom_site_fract_y
_atom_site_fract_z
In1 In 0.000 0.000 0.000
In2 In 0.189 0.235 0.395
In3 In 0.428 0.297 0.844
In4 In 0.572 0.703 0.156
In5 In 0.811 0.765 0.605
H1 H 0.309 0.770 0.603
H2 H 0.691 0.230 0.397
I1 I 0.037 0.270 0.646
I2 I 0.290 0.284 0.141
I3 I 0.710 0.716 0.859
I4 I 0.963 0.730 0.354
# Electronic total energy   -28.39 eV per formula unit
# DOS(E_F)   2.392 states/eV per cell
# Total magnetization   0.00 μB per formula unit